<P>
# TcSb2Br

A relaxed TcSb2Br crystal (PBE, Alexandria via LeMat-Bulk).

a = 3.1968 Å, b = 4.8415 Å, c = 12.2381 Å
α = 90.00°, β = 90.00°, γ = 90.00°
Space group Immm (No. 71)
Unique sites:
Tc 0.0000 0.0000 0.0000 [2 per cell]
Sb 0.0000 0.5000 0.3175 [4 per cell]
Br 0.0000 0.0000 0.5000 [2 per cell]

## Properties
DOS(E_F) ... 1.0737 states/eV per atom
M_tot ... 0.005 μB per cell

=====

<Q>
# TcSb2Br

A relaxed TcSb2Br crystal (PBE, Alexandria via LeMat-Bulk).

a = 7.1100 Å, b = 7.1100 Å, c = 7.1100 Å
α = 90.00°, β = 90.00°, γ = 90.00°
Space group Fm-3m (No. 225)
Unique sites:
Tc 0.0000 0.0000 0.0000 [4 per cell]
Sb 0.2500 0.2500 0.2500 [8 per cell]
Br 0.0000 0.0000 0.5000 [4 per cell]

## Properties
DOS(E_F) ... 0.5361 states/eV per atom
M_tot ... 7.813 μB per cell

=====

Most stable: <P>. Least stable: <Q>.

=====

<P>
# TcSb2Br

A relaxed TcSb2Br crystal (PBE, Alexandria via LeMat-Bulk).

a = 3.4514 Å, b = 5.3904 Å, c = 10.2620 Å
α = 90.00°, β = 90.00°, γ = 90.00°
Space group Amm2 (No. 38)
Unique sites:
Tc 0.0000 0.0000 0.0000 [2 per cell]
Sb 0.0000 0.0000 0.5155 [2 per cell]
Sb 0.5000 0.0000 0.8080 [2 per cell]
Br 0.5000 0.0000 0.2029 [2 per cell]

## Properties
DOS(E_F) ... 0.4607 states/eV per atom
M_tot ... 0.000 μB per cell

=====

<Q>
# TcSb2Br

A relaxed TcSb2Br crystal (PBE, Alexandria via LeMat-Bulk).

a = 3.3510 Å, b = 4.3458 Å, c = 13.9739 Å
α = 90.00°, β = 90.00°, γ = 90.00°
Space group Imm2 (No. 44)
Unique sites:
Tc 0.0000 0.0000 0.0000 [2 per cell]
Sb 0.0000 0.0000 0.5148 [2 per cell]
Sb 0.0000 0.5000 0.3456 [2 per cell]
Br 0.0000 0.5000 0.6950 [2 per cell]

## Properties
DOS(E_F) ... 0.5223 states/eV per atom
M_tot ... 0.000 μB per cell

=====

<R>
# TcSb2Br

A relaxed TcSb2Br crystal (PBE, Alexandria via LeMat-Bulk).

a = 5.3244 Å, b = 5.3244 Å, c = 3.1217 Å
α = 90.00°, β = 90.00°, γ = 90.00°
Space group P4/mmm (No. 123)
Unique sites:
Tc 0.0000 0.0000 0.0000 [1 per cell]
Sb 0.0000 0.5000 0.5000 [2 per cell]
Br 0.5000 0.5000 0.0000 [1 per cell]

## Properties
DOS(E_F) ... 0.9053 states/eV per atom
M_tot ... 1.598 μB per cell

=====

Most stable: <P>. Least stable: <R>.

=====

<P>
# Tc3SbBr

A relaxed Tc3SbBr crystal (PBE, Alexandria via LeMat-Bulk).

a = 5.0822 Å, b = 5.0822 Å, c = 5.0822 Å
α = 90.00°, β = 90.00°, γ = 90.00°
Space group Pm-3m (No. 221)
Unique sites:
Tc 0.0000 0.0000 0.5000 [3 per cell]
Sb 0.0000 0.0000 0.0000 [1 per cell]
Br 0.5000 0.5000 0.5000 [1 per cell]

## Properties
DOS(E_F) ... 1.3974 states/eV per atom
M_tot ... 8.199 μB per cell

=====

<Q>
# Tc3SbBr

A relaxed Tc3SbBr crystal (PBE, Alexandria via LeMat-Bulk).

a = 4.6161 Å, b = 4.6161 Å, c = 4.6161 Å
α = 90.00°, β = 90.00°, γ = 90.00°
Space group Pm-3m (No. 221)
Unique sites:
Tc 0.0000 0.0000 0.5000 [3 per cell]
Sb 0.5000 0.5000 0.5000 [1 per cell]
Br 0.0000 0.0000 0.0000 [1 per cell]

## Properties
DOS(E_F) ... 1.4039 states/eV per atom
M_tot ... 1.526 μB per cell

=====

Most stable: <Q>. Least stable: <P>.

=====

<P>
# TcSb3Br

A relaxed TcSb3Br crystal (PBE, Alexandria via LeMat-Bulk).

a = 5.4165 Å, b = 5.4165 Å, c = 5.4165 Å
α = 90.00°, β = 90.00°, γ = 90.00°
Space group Pm-3m (No. 221)
Unique sites:
Tc 0.0000 0.0000 0.0000 [1 per cell]
Sb 0.0000 0.5000 0.5000 [3 per cell]
Br 0.5000 0.5000 0.5000 [1 per cell]

## Properties
DOS(E_F) ... 0.9547 states/eV per atom
M_tot ... 3.212 μB per cell

=====

<Q>
# TcSb3Br

A relaxed TcSb3Br crystal (PBE, Alexandria via LeMat-Bulk).

a = 5.2030 Å, b = 5.2030 Å, c = 5.2030 Å
α = 90.00°, β = 90.00°, γ = 90.00°
Space group Pm-3m (No. 221)
Unique sites:
Tc 0.0000 0.0000 0.0000 [1 per cell]
Sb 0.0000 0.0000 0.5000 [3 per cell]
Br 0.5000 0.5000 0.5000 [1 per cell]

## Properties
DOS(E_F) ... 1.6678 states/eV per atom
M_tot ... 0.000 μB per cell

=====

Most stable: <Q>. Least stable: <P>.

=====

<P>
# TcSb2TeBr

A relaxed TcSb2TeBr crystal (PBE, Alexandria via LeMat-Bulk).

a = 5.4198 Å, b = 5.4198 Å, c = 5.6475 Å
α = 90.00°, β = 90.00°, γ = 90.00°
Space group P4/mmm (No. 123)
Unique sites:
Tc 0.0000 0.0000 0.0000 [1 per cell]
Sb 0.0000 0.5000 0.5000 [2 per cell]
Te 0.5000 0.5000 0.0000 [1 per cell]
Br 0.5000 0.5000 0.5000 [1 per cell]

## Properties
DOS(E_F) ... 1.0178 states/eV per atom
M_tot ... 3.515 μB per cell

=====

<Q>
# TcSb2TeBr

A relaxed TcSb2TeBr crystal (PBE, Alexandria via LeMat-Bulk).

a = 5.2514 Å, b = 5.2514 Å, c = 5.1651 Å
α = 90.00°, β = 90.00°, γ = 90.00°
Space group P4/mmm (No. 123)
Unique sites:
Tc 0.0000 0.0000 0.0000 [1 per cell]
Sb 0.0000 0.5000 0.0000 [2 per cell]
Te 0.0000 0.0000 0.5000 [1 per cell]
Br 0.5000 0.5000 0.5000 [1 per cell]

## Properties
DOS(E_F) ... 1.0665 states/eV per atom
M_tot ... 0.000 μB per cell

=====

Most stable: <Q>. Least stable: <P>.

=====

<P>
# TcSbTe2Br

A relaxed TcSbTe2Br crystal (PBE, Alexandria via LeMat-Bulk).

a = 5.6023 Å, b = 5.6023 Å, c = 5.4324 Å
α = 90.00°, β = 90.00°, γ = 90.00°
Space group P4/mmm (No. 123)
Unique sites:
Tc 0.0000 0.0000 0.0000 [1 per cell]
Sb 0.5000 0.5000 0.0000 [1 per cell]
Te 0.0000 0.5000 0.5000 [2 per cell]
Br 0.5000 0.5000 0.5000 [1 per cell]

## Properties
DOS(E_F) ... 1.3727 states/eV per atom
M_tot ... 3.585 μB per cell

=====

<Q>
# TcSbTe2Br

A relaxed TcSbTe2Br crystal (PBE, Alexandria via LeMat-Bulk).

a = 5.1902 Å, b = 5.1902 Å, c = 5.3596 Å
α = 90.00°, β = 90.00°, γ = 90.00°
Space group P4/mmm (No. 123)
Unique sites:
Tc 0.0000 0.0000 0.0000 [1 per cell]
Sb 0.0000 0.0000 0.5000 [1 per cell]
Te 0.0000 0.5000 0.0000 [2 per cell]
Br 0.5000 0.5000 0.5000 [1 per cell]

## Properties
DOS(E_F) ... 1.0001 states/eV per atom
M_tot ... 0.000 μB per cell

=====

Most stable: <Q>. Least stable: <P>.

=====

<P>
# YTcSbBr2

A relaxed YTcSbBr2 crystal (PBE, Alexandria via LeMat-Bulk).

a = 5.3423 Å, b = 5.3423 Å, c = 6.3074 Å
α = 90.00°, β = 90.00°, γ = 90.00°
Space group P4/mmm (No. 123)
Unique sites:
Y 0.0000 0.0000 0.0000 [1 per cell]
Tc 0.5000 0.5000 0.5000 [1 per cell]
Sb 0.0000 0.0000 0.5000 [1 per cell]
Br 0.0000 0.5000 0.0000 [2 per cell]

## Properties
DOS(E_F) ... 0.4500 states/eV per atom
M_tot ... 4.893 μB per cell

=====

<Q>
# YTcSbBr2

A relaxed YTcSbBr2 crystal (PBE, Alexandria via LeMat-Bulk).

a = 5.2902 Å, b = 5.2902 Å, c = 6.2338 Å
α = 90.00°, β = 90.00°, γ = 90.00°
Space group P4/mmm (No. 123)
Unique sites:
Y 0.0000 0.0000 0.0000 [1 per cell]
Tc 0.0000 0.0000 0.5000 [1 per cell]
Sb 0.5000 0.5000 0.5000 [1 per cell]
Br 0.0000 0.5000 0.0000 [2 per cell]

## Properties
DOS(E_F) ... 0.8414 states/eV per atom
M_tot ... 4.135 μB per cell

=====

Most stable: <P>. Least stable: <Q>.

=====

<P>
# Sb2TeBr

A relaxed Sb2TeBr crystal (PBE, Alexandria via LeMat-Bulk).

a = 14.8861 Å, b = 4.0971 Å, c = 4.8846 Å
α = 90.00°, β = 103.68°, γ = 90.00°
Space group Cm (No. 8)
Unique sites:
Sb 0.0000 0.0000 0.0000 [2 per cell]
Sb 0.1497 0.5000 0.2792 [2 per cell]
Te 0.4921 0.0000 0.5051 [2 per cell]
Br 0.2490 0.0000 0.6883 [2 per cell]

## Properties
DOS(E_F) ... 0.2860 states/eV per atom
M_tot ... 0.000 μB per cell

=====

<Q>
# Sb2TeBr

A relaxed Sb2TeBr crystal (PBE, Alexandria via LeMat-Bulk).

a = 10.2141 Å, b = 4.0716 Å, c = 7.7310 Å
α = 90.00°, β = 119.48°, γ = 90.00°
Space group C2/m (No. 12)
Unique sites:
Sb 0.2216 0.0000 0.3331 [4 per cell]
Te 0.0000 0.0000 0.5000 [2 per cell]
Br 0.0000 0.5000 0.0000 [2 per cell]

## Properties
DOS(E_F) ... 0.5014 states/eV per atom
M_tot ... 0.000 μB per cell

=====

<R>
# Sb2TeBr

A relaxed Sb2TeBr crystal (PBE, Alexandria via LeMat-Bulk).

a = 3.9804 Å, b = 4.0051 Å, c = 7.6754 Å
α = 90.00°, β = 90.00°, γ = 90.00°
Space group Pmm2 (No. 25)
Unique sites:
Sb 0.0000 0.0000 0.0000 [1 per cell]
Sb 0.5000 0.5000 0.2093 [1 per cell]
Te 0.5000 0.5000 0.8190 [1 per cell]
Br 0.0000 0.0000 0.4812 [1 per cell]

## Properties
DOS(E_F) ... 0.4264 states/eV per atom
M_tot ... 0.000 μB per cell

=====

Most stable: <P>. Least stable: <R>.